The following is a PBEsol calculation of crystalline K2CaAs at its relaxed geometry, from the Alexandria database.

Output
- Final energy: -11.3 eV per formula unit
- N(E_F): 0.3911 states/eV/atom

a = 3.919 Å, b = 4.402 Å, c = 10.143 Å
α = 102.53°, β = 101.14°, γ = 90.00°
Fractional positions:
As: 0.500 0.000 0.000
Ca: 0.000 0.500 0.000
K: 0.848 0.848 0.696
K: 0.152 0.152 0.304

***

The following is a PBEsol calculation of crystalline CaLa2As2 at its relaxed geometry, from the Alexandria database.

Output
- Energy relative to the lowest polymorph listed for this composition: 0.468 eV/atom
- Final energy: -27.0 eV per formula unit
- N(E_F): 0.6383 states/eV/atom

a = 4.495 Å, b = 4.495 Å, c = 7.499 Å
α = 107.44°, β = 107.44°, γ = 90.00°
Fractional positions:
As: 0.401 0.401 0.803
As: 0.599 0.599 0.197
Ca: 0.000 0.000 0.000
La: 0.250 0.750 0.500
La: 0.750 0.250 0.500

***

The following is a PBEsol calculation of crystalline CaLa2As2 at its relaxed geometry, from the Alexandria database.

Output
- Energy relative to the lowest polymorph listed for this composition: 0.000 eV/atom
- Final energy: -29.3 eV per formula unit
- N(E_F): 0.5736 states/eV/atom

a = 4.146 Å, b = 8.029 Å, c = 8.029 Å
α = 90.00°, β = 90.00°, γ = 90.00°
Fractional positions:
As: 0.000 0.345 0.845
As: 0.000 0.845 0.655
As: 0.000 0.655 0.155
As: 0.000 0.155 0.345
Ca: 0.000 0.000 0.000
Ca: 0.000 0.500 0.500
La: 0.500 0.151 0.651
La: 0.500 0.651 0.849
La: 0.500 0.849 0.349
La: 0.500 0.349 0.151